CsMg2N: relaxed, GGA-PBE.

Computed properties:
calculated volume: 28.2 A^3/atom
E_form (uncorrected): -0.009 eV per atom
N(E_F): 1.25 states/eV per atom
total energy: -3.10 eV per atom

```
data_CsMg2N
_space_group_name_H-M_alt 'I 41/a m d'
_space_group_IT_number 141
_cell_length_a 6.826
_cell_length_b 6.826
_cell_length_c 9.671
_cell_angle_alpha 90.00
_cell_angle_beta 90.00
_cell_angle_gamma 90.00
loop_
_space_group_symop_operation_xyz
'x,y,z'
'-x,-y,-z'
'-y+1/4,x+3/4,z+1/4'
'y+1/4,-x+3/4,-z+1/4'
'-x+1/2,-y,z+1/2'
'x+1/2,y,-z+1/2'
'y+1/4,-x+1/4,z+3/4'
'-y+1/4,x+1/4,-z+3/4'
'x,-y,-z'
'-x,y,z'
'-y+1/4,-x+1/4,-z+3/4'
'y+1/4,x+1/4,z+3/4'
'-x+1/2,y,-z+1/2'
'x+1/2,-y,z+1/2'
'y+1/4,x+3/4,-z+1/4'
'-y+1/4,-x+3/4,z+1/4'
'x+1/2,y+1/2,z+1/2'
'-x+1/2,-y+1/2,-z+1/2'
'-y+3/4,x+1/4,z+3/4'
'y+3/4,-x+1/4,-z+3/4'
'-x,-y+1/2,z'
'x,y+1/2,-z'
'y+3/4,-x+3/4,z+1/4'
'-y+3/4,x+3/4,-z+1/4'
'x+1/2,-y+1/2,-z+1/2'
'-x+1/2,y+1/2,z+1/2'
'-y+3/4,-x+3/4,-z+1/4'
'y+3/4,x+3/4,z+1/4'
'-x,y+1/2,-z'
'x,-y+1/2,z'
'y+3/4,x+1/4,-z+3/4'
'-y+3/4,-x+1/4,z+3/4'
loop_
_atom_site_label
_atom_site_type_symbol
_atom_site_fract_x
_atom_site_fract_y
_atom_site_fract_z
Cs1 Cs 0.000 0.250 0.375
Mg1 Mg 0.000 0.000 0.000
N1 N 0.000 0.250 0.875
```

---

CsMgN: relaxed, GGA-PBE.

Computed properties:
calculated volume: 26.5 A^3/atom
E_form (uncorrected): -0.046 eV per atom
N(E_F): 0.00 states/eV per atom
total energy: -3.64 eV per atom

```
data_CsMgN
_space_group_name_H-M_alt 'P n m a'
_space_group_IT_number 62
_cell_length_a 7.524
_cell_length_b 3.915
_cell_length_c 10.793
_cell_angle_alpha 90.00
_cell_angle_beta 90.00
_cell_angle_gamma 90.00
loop_
_space_group_symop_operation_xyz
'x,y,z'
'-x,-y,-z'
'-x+1/2,-y,z+1/2'
'x+1/2,y,-z+1/2'
'x+1/2,-y+1/2,-z+1/2'
'-x+1/2,y+1/2,z+1/2'
'-x,y+1/2,-z'
'x,-y+1/2,z'
loop_
_atom_site_label
_atom_site_type_symbol
_atom_site_fract_x
_atom_site_fract_y
_atom_site_fract_z
Cs1 Cs 0.013 0.250 0.170
Mg1 Mg 0.112 0.750 0.487
N1 N 0.179 0.250 0.502
```